# 1
# CsHfNb3 | Alexandria via LeMat-Bulk | PBE | optimized geometry
data_CsHfNb3
_chemical_formula_sum 'Cs1 Hf1 Nb3'
_symmetry_space_group_name_H-M 'P m -3 m'
_symmetry_Int_Tables_number 221
_symmetry_space_group_name_Hall '-P 4 2 3'
_cell_length_a 5.1900
_cell_length_b 5.1900
_cell_length_c 5.1900
_cell_angle_alpha 90.00
_cell_angle_beta 90.00
_cell_angle_gamma 90.00
loop_
_atom_site_label
_atom_site_type_symbol
_atom_site_fract_x
_atom_site_fract_y
_atom_site_fract_z
Cs1 Cs 0.0000 0.0000 0.0000
Hf1 Hf 0.5000 0.5000 0.5000
Nb1 Nb 0.0000 0.5000 0.5000
# E ... -6.321 eV per atom
# D(E_F) ... 7.94 states/eV per cell
# Calculated density ... 7.01 g/cm³
# E above lowest polymorph ... 0.000 eV per atom

***

# 2
# ScSi2Os | Alexandria via LeMat-Bulk | PBE | optimized geometry
data_ScSi2Os
_chemical_formula_sum 'Sc1 Si2 Os1'
_symmetry_space_group_name_H-M 'P 4 m m'
_symmetry_Int_Tables_number 99
_symmetry_space_group_name_Hall 'P 4 -2'
_cell_length_a 3.1249
_cell_length_b 3.1249
_cell_length_c 6.2240
_cell_angle_alpha 90.00
_cell_angle_beta 90.00
_cell_angle_gamma 90.00
loop_
_atom_site_label
_atom_site_type_symbol
_atom_site_fract_x
_atom_site_fract_y
_atom_site_fract_z
Sc1 Sc 0.0000 0.0000 0.0000
Si1 Si 0.0000 0.0000 0.5012
Si2 Si 0.5000 0.5000 0.2772
Os1 Os 0.5000 0.5000 0.6830
# E ... -7.539 eV per atom
# D(E_F) ... 1.41 states/eV per cell
# Calculated density ... 7.96 g/cm³